{"formula": "YGaCuNi", "functional": "PBE", "state": "relaxed", "cell": [[4.207, 0.000, 0.000], [-2.104, 3.649, -0.001], [0.000, -2.428, 4.527]], "species": ["Ni", "Cu", "Ga", "Y"], "fractional_positions": [[0.817, 0.634, 0.093], [0.408, 0.816, 0.866], [0.128, 0.255, 0.025], [0.613, 0.227, 0.483]], "magnetic_moment_mub_per_fu": 0.00, "spacegroup": "R3m (160)", "formation_enthalpy_0k_ev_per_atom": -0.44}